LiBIr GGA-PBE optimized geometry; energy above the most stable polymorph in this dataset = 2.25 eV/f.u.
1.0
1.939 -3.111 -0.406
0.520 -2.239 2.885
-1.707 -3.267 0.130
B Ir Li
1 1 1
direct
0.250 0.250 0.250
0.000 0.000 0.000
0.750 0.750 0.750